Below is a geometry-optimized NdTm2Bi structure, with properties calculated at the GGA-PBE level.

Energy of formation: -0.38 eV/atom
Crystal system: orthorhombic
Energy relative to the lowest polymorph listed for this composition: 0.000 eV/f.u.
Calculated density: 9.2 g/cm³
Calculated total energy: -38.248 eV/cell

Cell lengths 4.1682, 6.5921, 9.6117 Å; angles 90.00, 90.00, 108.44 degrees
Fractional coordinates of all 8 atoms:
Nd 0.9474 0.8948 0.2500
Nd 0.0526 0.1052 0.7500
Tm 0.3660 0.7320 0.5410
Tm 0.6340 0.2680 0.4590
Tm 0.3660 0.7320 0.9590
Tm 0.6340 0.2680 0.0410
Bi 0.7626 0.5253 0.7500
Bi 0.2374 0.4747 0.2500